# PBE Zn2In2Au3, relaxed
# - magnetic moment (μB/f.u.) = 0.0
# - crystal system = monoclinic
# - formation energy from the elements (kJ/mol of formula units) = -109
# - E (eV per atom) = -2.71
data_Zn2In2Au3
_symmetry_space_group_name_H-M 'P 1'
_symmetry_Int_Tables_number 1
_cell_length_a 4.529
_cell_length_b 4.530
_cell_length_c 8.201
_cell_angle_alpha 89.99
_cell_angle_beta 105.15
_cell_angle_gamma 120.00
loop_
_symmetry_equiv_pos_as_xyz
'x,y,z'
loop_
_atom_site_label
_atom_site_type_symbol
_atom_site_fract_x
_atom_site_fract_y
_atom_site_fract_z
Au1 Au 0.000 0.000 0.000
Zn1 Zn 0.748 0.374 0.118
Zn2 Zn 0.252 0.626 0.882
In1 In 0.255 0.128 0.385
Au2 Au 0.505 0.252 0.760
In2 In 0.745 0.872 0.615
Au3 Au 0.495 0.748 0.240